# 1
First-principles (PBE) data for a relaxed structure of UGa2Cu, as listed in the Alexandria database. Values from VASP.

space group: No. 62
ΔH_f (0 K): -90 meV/atom
theoretical density: 10.1 g/cm3
final energy: -5.45 eV per atom

Geometry as Quantum ESPRESSO input:
```
&SYSTEM
  ibrav = 0, nat = 16, ntyp = 3
/
ATOMIC_SPECIES
U 238.03 U.upf
Ga 69.72 Ga.upf
Cu 63.55 Cu.upf
ATOMIC_POSITIONS angstrom
U 1.586 1.118 1.571
U 1.592 3.355 6.671
U 4.764 1.118 3.530
U 4.770 3.355 8.630
Ga 0.411 1.118 8.672
Ga 1.587 1.118 4.594
Ga 1.591 3.355 9.694
Ga 2.767 3.355 3.571
Ga 3.589 1.118 6.629
Ga 4.765 1.118 0.507
Ga 4.769 3.355 5.607
Ga 5.945 3.355 1.529
Cu 0.315 3.355 3.890
Cu 2.864 1.118 8.991
Cu 3.493 3.355 1.210
Cu 6.042 1.118 6.310
CELL_PARAMETERS angstrom
6.356 0.000 0.000
0.000 4.474 0.000
0.000 0.000 10.201
```

---

# 2
First-principles (PBE) data for a relaxed structure of UGaCu, as listed in the Alexandria database. Values from VASP.

space group: No. 63
ΔH_f (0 K): -127 meV/atom
theoretical density: 11.8 g/cm3
final energy: -6.26 eV per atom

Geometry as Quantum ESPRESSO input:
```
&SYSTEM
  ibrav = 0, nat = 6, ntyp = 3
/
ATOMIC_SPECIES
U 238.03 U.upf
Ga 69.72 Ga.upf
Cu 63.55 Cu.upf
ATOMIC_POSITIONS angstrom
U 2.086 5.172 3.152
U 2.086 -5.172 1.051
Ga 2.086 1.519 3.152
Ga 2.086 -1.519 1.051
Cu 2.086 2.934 1.051
Cu 2.086 -2.934 3.152
CELL_PARAMETERS angstrom
2.086 -5.951 0.000
2.086 5.951 0.000
0.000 0.000 4.202
```

---

# 3
First-principles (PBE) data for a relaxed structure of UGa2Cu, as listed in the Alexandria database. Values from VASP.

space group: No. 123
ΔH_f (0 K): 47 meV/atom
theoretical density: 9.7 g/cm3
final energy: -5.31 eV per atom

Geometry as Quantum ESPRESSO input:
```
&SYSTEM
  ibrav = 0, nat = 4, ntyp = 3
/
ATOMIC_SPECIES
U 238.03 U.upf
Ga 69.72 Ga.upf
Cu 63.55 Cu.upf
ATOMIC_POSITIONS angstrom
U 0.000 0.000 0.000
Ga 0.000 2.089 2.155
Ga 2.089 0.000 2.155
Cu 2.089 2.089 0.000
CELL_PARAMETERS angstrom
4.179 0.000 0.000
0.000 4.179 0.000
0.000 0.000 4.310
```

---

# 4
First-principles (PBE) data for a relaxed structure of U2Ga9Cu, as listed in the Alexandria database. Values from VASP.

space group: No. 123
ΔH_f (0 K): -124 meV/atom
theoretical density: 8.8 g/cm3
final energy: -4.62 eV per atom

Geometry as Quantum ESPRESSO input:
```
&SYSTEM
  ibrav = 0, nat = 12, ntyp = 3
/
ATOMIC_SPECIES
U 238.03 U.upf
Ga 69.72 Ga.upf
Cu 63.55 Cu.upf
ATOMIC_POSITIONS angstrom
U 0.000 0.000 2.176
U 0.000 0.000 9.982
Ga 0.000 2.124 0.000
Ga 0.000 2.124 4.328
Ga 0.000 2.124 7.830
Ga 2.124 0.000 0.000
Ga 2.124 0.000 4.328
Ga 2.124 0.000 7.830
Ga 2.124 2.124 2.027
Ga 2.124 2.124 6.079
Ga 2.124 2.124 10.131
Cu 0.000 0.000 6.079
CELL_PARAMETERS angstrom
4.248 0.000 0.000
0.000 4.248 0.000
0.000 0.000 12.158
```

---

# 5
First-principles (PBE) data for a relaxed structure of UGa2Cu, as listed in the Alexandria database. Values from VASP.

space group: No. 123
ΔH_f (0 K): -103 meV/atom
theoretical density: 11.4 g/cm3
final energy: -5.46 eV per atom

Geometry as Quantum ESPRESSO input:
```
&SYSTEM
  ibrav = 0, nat = 4, ntyp = 3
/
ATOMIC_SPECIES
U 238.03 U.upf
Ga 69.72 Ga.upf
Cu 63.55 Cu.upf
ATOMIC_POSITIONS angstrom
U 0.000 0.000 0.000
Ga 1.391 1.391 2.379
Ga 1.391 1.391 5.950
Cu 0.000 0.000 4.165
CELL_PARAMETERS angstrom
2.781 0.000 0.000
0.000 2.781 0.000
0.000 0.000 8.329
```

---

# 6
First-principles (PBE) data for a relaxed structure of UGaCu, as listed in the Alexandria database. Values from VASP.

space group: No. 107
ΔH_f (0 K): -16 meV/atom
theoretical density: 12.4 g/cm3
final energy: -6.15 eV per atom

Geometry as Quantum ESPRESSO input:
```
&SYSTEM
  ibrav = 0, nat = 3, ntyp = 3
/
ATOMIC_SPECIES
U 238.03 U.upf
Ga 69.72 Ga.upf
Cu 63.55 Cu.upf
ATOMIC_POSITIONS angstrom
U 0.000 0.000 0.000
Ga 0.000 0.000 3.897
Cu 0.000 0.000 8.549
CELL_PARAMETERS angstrom
-1.408 1.408 6.279
1.408 -1.408 6.279
1.408 1.408 -6.279
```

---

# 7
First-principles (PBE) data for a relaxed structure of UGa2Cu, as listed in the Alexandria database. Values from VASP.

space group: No. 166
ΔH_f (0 K): -23 meV/atom
theoretical density: 10.9 g/cm3
final energy: -5.38 eV per atom

Geometry as Quantum ESPRESSO input:
```
&SYSTEM
  ibrav = 0, nat = 4, ntyp = 3
/
ATOMIC_SPECIES
U 238.03 U.upf
Ga 69.72 Ga.upf
Cu 63.55 Cu.upf
ATOMIC_POSITIONS angstrom
U 0.000 0.000 0.000
Ga 0.000 0.000 6.795
Ga 0.000 0.000 21.539
Cu 0.000 0.000 14.167
CELL_PARAMETERS angstrom
1.436 0.829 9.445
-1.436 0.829 9.445
0.000 -1.658 9.445
```

---

# 8
First-principles (PBE) data for a relaxed structure of UGaCu, as listed in the Alexandria database. Values from VASP.

space group: No. 156
ΔH_f (0 K): 92 meV/atom
theoretical density: 12.0 g/cm3
final energy: -6.04 eV per atom

Geometry as Quantum ESPRESSO input:
```
&SYSTEM
  ibrav = 0, nat = 3, ntyp = 3
/
ATOMIC_SPECIES
U 238.03 U.upf
Ga 69.72 Ga.upf
Cu 63.55 Cu.upf
ATOMIC_POSITIONS angstrom
U 0.000 0.000 0.000
Ga 1.433 0.827 2.622
Cu 0.000 1.655 4.659
CELL_PARAMETERS angstrom
2.866 0.000 0.000
-1.433 2.482 0.000
0.000 0.000 7.205
```

---

# 9
First-principles (PBE) data for a relaxed structure of UGaCu2, as listed in the Alexandria database. Values from VASP.

space group: No. 123
ΔH_f (0 K): 54 meV/atom
theoretical density: 11.7 g/cm3
final energy: -5.57 eV per atom

Geometry as Quantum ESPRESSO input:
```
&SYSTEM
  ibrav = 0, nat = 4, ntyp = 3
/
ATOMIC_SPECIES
U 238.03 U.upf
Ga 69.72 Ga.upf
Cu 63.55 Cu.upf
ATOMIC_POSITIONS angstrom
U 0.000 0.000 0.000
Ga 0.000 0.000 3.908
Cu 1.407 1.407 2.270
Cu 1.407 1.407 5.546
CELL_PARAMETERS angstrom
2.814 0.000 0.000
0.000 2.814 0.000
0.000 0.000 7.815
```

---

# 10
First-principles (PBE) data for a relaxed structure of UGaCu, as listed in the Alexandria database. Values from VASP.

space group: No. 194
ΔH_f (0 K): -24 meV/atom
theoretical density: 12.1 g/cm3
final energy: -6.16 eV per atom

Geometry as Quantum ESPRESSO input:
```
&SYSTEM
  ibrav = 0, nat = 6, ntyp = 3
/
ATOMIC_SPECIES
U 238.03 U.upf
Ga 69.72 Ga.upf
Cu 63.55 Cu.upf
ATOMIC_POSITIONS angstrom
U 0.000 0.000 0.000
U 0.000 0.000 2.741
Ga 0.000 2.680 1.371
Ga 2.321 1.340 4.112
Cu 0.000 2.680 4.112
Cu 2.321 1.340 1.371
CELL_PARAMETERS angstrom
4.642 0.000 0.000
-2.321 4.020 0.000
0.000 0.000 5.483
```

---

# 11
First-principles (PBE) data for a relaxed structure of UGa2Cu6, as listed in the Alexandria database. Values from VASP.

space group: No. 160
ΔH_f (0 K): 21 meV/atom
theoretical density: 9.2 g/cm3
final energy: -4.64 eV per atom

Geometry as Quantum ESPRESSO input:
```
&SYSTEM
  ibrav = 0, nat = 18, ntyp = 3
/
ATOMIC_SPECIES
U 238.03 U.upf
Ga 69.72 Ga.upf
Cu 63.55 Cu.upf
ATOMIC_POSITIONS angstrom
U 0.000 0.000 0.000
U 0.000 0.000 3.819
Ga -1.987 -1.147 6.142
Ga 1.987 -1.147 6.142
Ga 0.000 2.295 6.142
Ga 0.000 0.000 9.107
Cu 0.000 -2.553 2.132
Cu -2.211 1.277 2.132
Cu 0.000 -2.632 5.983
Cu -2.279 1.316 5.983
Cu -1.323 -2.302 8.214
Cu -2.655 0.006 8.214
Cu 2.211 1.277 2.132
Cu 1.323 -2.302 8.214
Cu -1.333 2.297 8.214
Cu 2.279 1.316 5.983
Cu 2.655 0.006 8.214
Cu 1.333 2.297 8.214
CELL_PARAMETERS angstrom
4.353 2.513 4.153
-4.353 2.513 4.153
0.000 -5.026 4.153
```

---

# 12
First-principles (PBE) data for a relaxed structure of UGa6Cu6, as listed in the Alexandria database. Values from VASP.

space group: No. 71
ΔH_f (0 K): -160 meV/atom
theoretical density: 8.9 g/cm3
final energy: -4.32 eV per atom

Geometry as Quantum ESPRESSO input:
```
&SYSTEM
  ibrav = 0, nat = 13, ntyp = 3
/
ATOMIC_SPECIES
U 238.03 U.upf
Ga 69.72 Ga.upf
Cu 63.55 Cu.upf
ATOMIC_POSITIONS angstrom
U 0.000 0.000 0.000
Ga 2.571 0.000 1.673
Ga 0.000 2.978 0.000
Ga 0.000 0.000 3.045
Ga 0.000 5.609 0.000
Ga 0.000 0.000 5.740
Ga 0.000 4.294 2.719
Cu 1.285 2.147 -2.196
Cu 1.285 -2.147 2.196
Cu 2.571 2.010 0.000
Cu -1.285 2.147 2.196
Cu 1.285 2.147 2.196
Cu 0.000 2.284 4.392
CELL_PARAMETERS angstrom
-2.571 4.294 4.392
2.571 -4.294 4.392
2.571 4.294 -4.392
```

---

It is found that the V values, taken in the order of the records, are 290.1 104.3 75.3 219.4 64.4 49.8 67.4 51.3 61.9 102.3 272.5 193.9 Å³ per cell.